<P>
This record from Alexandria via LeMat-Bulk describes a relaxed Nd12Rh6Au crystal. The functional is PBE.

Output
As for the space group: Im-3 (204).

Lattice parameters (Å, degrees): 8.788 8.788 8.788 109.47 109.47 109.47
Fractional coordinates of all 19 atoms:
Nd: 0.118 0.303 0.815
Nd: 0.185 0.488 0.303
Nd: 0.185 0.882 0.697
Nd: 0.303 0.185 0.488
Nd: 0.303 0.815 0.118
Nd: 0.488 0.303 0.185
Nd: 0.512 0.697 0.815
Nd: 0.697 0.185 0.882
Nd: 0.697 0.815 0.512
Nd: 0.815 0.118 0.303
Nd: 0.815 0.512 0.697
Nd: 0.882 0.697 0.185
Rh: 0.134 0.500 0.634
Rh: 0.366 0.866 0.500
Rh: 0.500 0.366 0.866
Rh: 0.500 0.634 0.134
Rh: 0.634 0.134 0.500
Rh: 0.866 0.500 0.366
Au: 0.000 0.000 0.000

<Q>
This record from Alexandria via LeMat-Bulk describes a relaxed Nd12Rh6Au crystal. The functional is PBE.

Output
As for the space group: R-3 (148).

Lattice parameters (Å, degrees): 8.502 8.502 8.502 101.34 101.34 101.34
Fractional coordinates of all 19 atoms:
Nd: 0.064 0.920 0.669
Nd: 0.080 0.331 0.936
Nd: 0.176 0.571 0.417
Nd: 0.331 0.936 0.080
Nd: 0.417 0.176 0.571
Nd: 0.429 0.583 0.824
Nd: 0.571 0.417 0.176
Nd: 0.583 0.824 0.429
Nd: 0.669 0.064 0.920
Nd: 0.824 0.429 0.583
Nd: 0.920 0.669 0.064
Nd: 0.936 0.080 0.331
Rh: 0.138 0.309 0.615
Rh: 0.309 0.615 0.138
Rh: 0.385 0.862 0.691
Rh: 0.615 0.138 0.309
Rh: 0.691 0.385 0.862
Rh: 0.862 0.691 0.385
Au: 0.000 0.000 0.000

Which of them is the most stable? Correct choice: <P>.

<P>
This record from Alexandria via LeMat-Bulk describes a relaxed SrNdRhAu crystal. The functional is PBE.

Output
As for the space group: Amm2 (38).

Lattice parameters (Å, degrees): 4.365 4.091 11.683 90.00 90.00 90.00
Fractional coordinates of all 8 atoms:
Sr: 0.000 0.000 0.000
Sr: 0.000 0.500 0.500
Nd: 0.500 0.000 0.282
Nd: 0.500 0.500 0.782
Rh: 0.000 0.000 0.734
Rh: 0.000 0.500 0.234
Au: 0.500 0.000 0.571
Au: 0.500 0.500 0.071

<Q>
This record from Alexandria via LeMat-Bulk describes a relaxed SrNdRhAu crystal. The functional is PBE.

Output
As for the space group: F-43m (216).

Lattice parameters (Å, degrees): 7.330 7.330 7.330 90.00 90.00 90.00
Fractional coordinates of all 16 atoms:
Sr: 0.000 0.000 0.000
Sr: 0.000 0.500 0.500
Sr: 0.500 0.000 0.500
Sr: 0.500 0.500 0.000
Nd: 0.000 0.000 0.500
Nd: 0.000 0.500 0.000
Nd: 0.500 0.000 0.000
Nd: 0.500 0.500 0.500
Rh: 0.250 0.250 0.750
Rh: 0.250 0.750 0.250
Rh: 0.750 0.250 0.250
Rh: 0.750 0.750 0.750
Au: 0.250 0.250 0.250
Au: 0.250 0.750 0.750
Au: 0.750 0.250 0.750
Au: 0.750 0.750 0.250

Which of them is the most stable? Correct choice: <P>.

<P>
This record from Alexandria via LeMat-Bulk describes a relaxed NdThRhAu crystal. The functional is PBE.

Output
As for the space group: F-43m (216).

Lattice parameters (Å, degrees): 7.276 7.276 7.276 90.00 90.00 90.00
Fractional coordinates of all 16 atoms:
Nd: 0.000 0.000 0.000
Nd: 0.000 0.500 0.500
Nd: 0.500 0.000 0.500
Nd: 0.500 0.500 0.000
Th: 0.000 0.000 0.500
Th: 0.000 0.500 0.000
Th: 0.500 0.000 0.000
Th: 0.500 0.500 0.500
Rh: 0.250 0.250 0.750
Rh: 0.250 0.750 0.250
Rh: 0.750 0.250 0.250
Rh: 0.750 0.750 0.750
Au: 0.250 0.250 0.250
Au: 0.250 0.750 0.750
Au: 0.750 0.250 0.750
Au: 0.750 0.750 0.250

<Q>
This record from Alexandria via LeMat-Bulk describes a relaxed NdThRhAu crystal. The functional is PBE.

Output
As for the space group: Amm2 (38).

Lattice parameters (Å, degrees): 4.174 3.985 12.148 90.00 90.00 90.00
Fractional coordinates of all 8 atoms:
Nd: 0.000 0.000 0.000
Nd: 0.000 0.500 0.500
Th: 0.500 0.000 0.278
Th: 0.500 0.500 0.778
Rh: 0.000 0.000 0.753
Rh: 0.000 0.500 0.253
Au: 0.500 0.000 0.573
Au: 0.500 0.500 0.073

Which of them is the most stable? Correct choice: <Q>.

<P>
This record from Alexandria via LeMat-Bulk describes a relaxed Nd8RuAu2 crystal. The functional is PBE.

Output
As for the space group: Cm (8).

Lattice parameters (Å, degrees): 9.030 9.030 6.379 104.98 104.98 127.84
Fractional coordinates of all 11 atoms:
Nd: 0.000 0.000 0.000
Nd: 0.168 0.921 0.561
Nd: 0.392 0.619 0.244
Nd: 0.455 0.455 0.685
Nd: 0.520 0.908 0.892
Nd: 0.619 0.392 0.244
Nd: 0.908 0.520 0.892
Nd: 0.921 0.168 0.561
Ru: 0.777 0.777 0.196
Au: 0.025 0.458 0.348
Au: 0.458 0.025 0.348

<Q>
This record from Alexandria via LeMat-Bulk describes a relaxed Nd8RuAu2 crystal. The functional is PBE.

Output
As for the space group: C2/m (12).

Lattice parameters (Å, degrees): 9.318 9.318 7.093 100.17 100.17 32.29
Fractional coordinates of all 11 atoms:
Nd: 0.026 0.026 0.284
Nd: 0.204 0.204 0.822
Nd: 0.343 0.343 0.531
Nd: 0.412 0.412 0.057
Nd: 0.588 0.588 0.943
Nd: 0.657 0.657 0.469
Nd: 0.796 0.796 0.178
Nd: 0.974 0.974 0.716
Ru: 0.500 0.500 0.500
Au: 0.193 0.193 0.236
Au: 0.807 0.807 0.764

Which of them is the most stable? Correct choice: <Q>.

<P>
This record from Alexandria via LeMat-Bulk describes a relaxed Nd3RuAu2 crystal. The functional is PBE.

Output
As for the space group: Cmmm (65).

Lattice parameters (Å, degrees): 8.124 8.124 7.344 90.00 90.00 142.89
Fractional coordinates of all 12 atoms:
Nd: 0.000 0.000 0.239
Nd: 0.000 0.000 0.761
Nd: 0.328 0.672 0.235
Nd: 0.328 0.672 0.765
Nd: 0.672 0.328 0.235
Nd: 0.672 0.328 0.765
Ru: 0.169 0.831 0.000
Ru: 0.831 0.169 0.000
Au: 0.164 0.836 0.500
Au: 0.500 0.500 0.000
Au: 0.500 0.500 0.500
Au: 0.836 0.164 0.500

<Q>
This record from Alexandria via LeMat-Bulk describes a relaxed Nd3RuAu2 crystal. The functional is PBE.

Output
As for the space group: C2/c (15).

Lattice parameters (Å, degrees): 7.592 7.592 8.182 105.66 105.66 46.53
Fractional coordinates of all 12 atoms:
Nd: 0.002 0.998 0.750
Nd: 0.354 0.357 0.928
Nd: 0.357 0.354 0.428
Nd: 0.643 0.646 0.572
Nd: 0.646 0.643 0.072
Nd: 0.998 0.002 0.250
Ru: 0.498 0.502 0.250
Ru: 0.502 0.498 0.750
Au: 0.174 0.178 0.588
Au: 0.178 0.174 0.088
Au: 0.822 0.826 0.912
Au: 0.826 0.822 0.412

Which of them is the most stable? Correct choice: <P>.

<P>
This record from Alexandria via LeMat-Bulk describes a relaxed NdSbAu3 crystal. The functional is PBE.

Output
As for the space group: P2_1/c (14).

Lattice parameters (Å, degrees): 7.664 7.561 8.695 90.00 112.52 90.00
Fractional coordinates of all 20 atoms:
Nd: 0.199 0.036 0.252
Nd: 0.199 0.464 0.752
Nd: 0.801 0.536 0.248
Nd: 0.801 0.964 0.748
Sb: 0.398 0.742 0.541
Sb: 0.398 0.758 0.041
Sb: 0.602 0.242 0.959
Sb: 0.602 0.258 0.459
Au: 0.026 0.686 0.026
Au: 0.026 0.814 0.526
Au: 0.209 0.074 0.884
Au: 0.209 0.426 0.384
Au: 0.376 0.114 0.642
Au: 0.376 0.386 0.142
Au: 0.624 0.614 0.858
Au: 0.624 0.886 0.358
Au: 0.791 0.574 0.616
Au: 0.791 0.926 0.116
Au: 0.974 0.186 0.474
Au: 0.974 0.314 0.974

<Q>
This record from Alexandria via LeMat-Bulk describes a relaxed NdSbAu3 crystal. The functional is PBE.

Output
As for the space group: I-4m2 (119).

Lattice parameters (Å, degrees): 11.166 11.166 11.166 152.43 152.43 39.39
Fractional coordinates of all 10 atoms:
Nd: 0.164 0.164 0.000
Nd: 0.836 0.836 0.000
Sb: 0.250 0.750 0.500
Sb: 0.500 0.500 0.000
Au: 0.367 0.618 0.750
Au: 0.382 0.132 0.750
Au: 0.382 0.633 0.250
Au: 0.593 0.093 0.500
Au: 0.868 0.618 0.250
Au: 0.907 0.407 0.500

Which of them is the most stable? Correct choice: <P>.